12
Lattice="2.285 1.319 5.562 -2.285 1.319 5.562 0.000 -2.638 5.562" Properties=species:S:1:pos:R:3 comment="PrNi2H8Ir (PBE-GGA, optimized geometry)" space_group=R-3 final_energy_ev_per_cell=-54.2 magmom_total_mub_per_cell=0.0 pbc="T T T"
Pr 0.000 0.000 0.000
Ni 0.000 0.000 3.640
Ni 0.000 0.000 13.045
H -1.473 0.109 7.460
H -0.831 -1.221 9.225
H 0.000 0.000 5.196
H 0.642 -1.330 7.460
H -0.642 1.330 9.225
H 0.000 0.000 11.489
H 0.831 1.221 7.460
H 1.473 -0.109 9.225
Ir 0.000 0.000 8.343